This record from Alexandria via LeMat-Bulk describes an optimized crystal structure of TaCrIN2. The functional is PBE.

Lattice parameters (Å, degrees): 4.044 4.044 5.910 90.00 90.00 90.00
Space group P4/mmm (No. 123)
One atom of each set of equivalent atoms:
1 Ta 0.000 0.000 0.000 [1 per cell]
2 Cr 0.500 0.500 0.500 [1 per cell]
3 I 0.000 0.000 0.500 [1 per cell]
4 N 0.000 0.500 0.000 [2 per cell]

As for the volume: 96.7 Å³/cell. The offset from the most stable computed form is 0 kJ/mol of formula units. As for the total energy: -37.2 eV/f.u.

---

This record from Alexandria via LeMat-Bulk describes an optimized crystal structure of TaCrIN2. The functional is PBE.

Lattice parameters (Å, degrees): 3.881 3.881 5.268 90.00 90.00 90.00
Space group P4/mmm (No. 123)
One atom of each set of equivalent atoms:
1 Ta 0.000 0.000 0.000 [1 per cell]
2 Cr 0.500 0.500 0.500 [1 per cell]
3 I 0.500 0.500 0.000 [1 per cell]
4 N 0.000 0.500 0.500 [2 per cell]

As for the volume: 79.4 Å³/cell. The offset from the most stable computed form is 410 kJ/mol of formula units. As for the total energy: -32.9 eV/f.u.

---

This record from Alexandria via LeMat-Bulk describes an optimized crystal structure of TaCrI2N. The functional is PBE.

Lattice parameters (Å, degrees): 5.552 5.552 3.563 90.00 90.00 90.00
Space group P4/mmm (No. 123)
One atom of each set of equivalent atoms:
1 Ta 0.000 0.000 0.000 [1 per cell]
2 Cr 0.500 0.500 0.500 [1 per cell]
3 I 0.000 0.500 0.500 [2 per cell]
4 N 0.500 0.500 0.000 [1 per cell]

As for the volume: 109.8 Å³/cell. The offset from the most stable computed form is 197 kJ/mol of formula units. As for the total energy: -28.8 eV/f.u.

---

Question: Among the records above, which one has the lowest offset from the most stable computed form?
Answer: number 1

---

Please write out number 3 again, unchanged.
This record from Alexandria via LeMat-Bulk describes an optimized crystal structure of TaCrI2N. The functional is PBE.

Lattice parameters (Å, degrees): 5.552 5.552 3.563 90.00 90.00 90.00
Space group P4/mmm (No. 123)
One atom of each set of equivalent atoms:
1 Ta 0.000 0.000 0.000 [1 per cell]
2 Cr 0.500 0.500 0.500 [1 per cell]
3 I 0.000 0.500 0.500 [2 per cell]
4 N 0.500 0.500 0.000 [1 per cell]

As for the volume: 109.8 Å³/cell. The offset from the most stable computed form is 197 kJ/mol of formula units. As for the total energy: -28.8 eV/f.u.

---

Question: Which value of offset from the most stable computed form does entry 1 give?
Answer: 0 kJ/mol of formula units